Compound: Al2VAsO
Source: the Alexandria database
Functional: PBE with a Hubbard U
Structure: optimized geometry

V = 14.76 Å³ per atom
calculated total energy = -4.93 eV per atom
magnetic moment = 0.18 μB per formula unit

Cell: 3.8188 3.8188 5.0615 Å, 90.00 90.00 90.00°
Closest atoms and distances in Å follow each position.
Space group P4/mmm (No. 123)
Symmetry-distinct sites (fractional):
Al  0.0000  0.5000  0.0000 x2  2 O 1.91
V  0.0000  0.0000  0.5000 x1  4 As 2.70
As  0.5000  0.5000  0.5000 x1  2 O 2.53, 4 V 2.70
O  0.5000  0.5000  0.0000 x1  4 Al 1.91